# 1
# CsSrCd (PBE, optimized geometry)
# ΔH_f (0 K) ... -0.036 eV/atom
# Spin magnetization ... 0.43 Bohr magnetons per cell
# Fermi-level density of states ... 1.3125 states/eV/atom
data_CsSrCd
_chemical_formula_sum 'Cs1 Sr1 Cd1'
_cell_length_a 8.704
_cell_length_b 8.704
_cell_length_c 8.704
_cell_angle_alpha 150.79
_cell_angle_beta 150.79
_cell_angle_gamma 41.78
_space_group_name_H-M_alt 'P 1'
_space_group_IT_number 1
loop_
_space_group_symop_operation_xyz
'x,y,z'
loop_
_atom_site_label
_atom_site_type_symbol
_atom_site_fract_x
_atom_site_fract_y
_atom_site_fract_z
Cs1 Cs 0.000 0.000 0.000
Sr1 Sr 0.263 0.263 0.000
Cd1 Cd 0.667 0.667 0.000



# 2
# Cs3SrCd (PBE, optimized geometry)
# ΔH_f (0 K) ... 0.162 eV/atom
# Spin magnetization ... 0.00 Bohr magnetons per cell
# Fermi-level density of states ... 0.7916 states/eV/atom
# Polymorph energy (0 for the lowest one) ... 0 meV/atom
data_Cs3SrCd
_chemical_formula_sum 'Cs3 Sr1 Cd1'
_cell_length_a 7.498
_cell_length_b 7.498
_cell_length_c 7.498
_cell_angle_alpha 90.00
_cell_angle_beta 90.00
_cell_angle_gamma 90.00
_space_group_name_H-M_alt 'P 1'
_space_group_IT_number 1
loop_
_space_group_symop_operation_xyz
'x,y,z'
loop_
_atom_site_label
_atom_site_type_symbol
_atom_site_fract_x
_atom_site_fract_y
_atom_site_fract_z
Cs1 Cs 0.000 0.000 0.500
Cs2 Cs 0.000 0.500 0.000
Cs3 Cs 0.500 0.000 0.000
Sr1 Sr 0.500 0.500 0.500
Cd1 Cd 0.000 0.000 0.000



# 3
# CsSrCd17 (PBE, optimized geometry)
# ΔH_f (0 K) ... -0.092 eV/atom
# Spin magnetization ... 0.00 Bohr magnetons per cell
# Fermi-level density of states ... 0.2979 states/eV/atom
data_CsSrCd17
_chemical_formula_sum 'Cs1 Sr1 Cd17'
_cell_length_a 7.907
_cell_length_b 7.907
_cell_length_c 7.907
_cell_angle_alpha 82.77
_cell_angle_beta 82.77
_cell_angle_gamma 82.77
_space_group_name_H-M_alt 'P 1'
_space_group_IT_number 1
loop_
_space_group_symop_operation_xyz
'x,y,z'
loop_
_atom_site_label
_atom_site_type_symbol
_atom_site_fract_x
_atom_site_fract_y
_atom_site_fract_z
Cs1 Cs 0.000 0.000 0.000
Sr1 Sr 0.677 0.677 0.677
Cd1 Cd 0.046 0.343 0.634
Cd2 Cd 0.046 0.634 0.343
Cd3 Cd 0.197 0.689 0.689
Cd4 Cd 0.246 0.246 0.246
Cd5 Cd 0.336 0.336 0.847
Cd6 Cd 0.336 0.847 0.336
Cd7 Cd 0.343 0.046 0.634
Cd8 Cd 0.343 0.634 0.046
Cd9 Cd 0.444 0.444 0.444
Cd10 Cd 0.507 0.982 0.982
Cd11 Cd 0.634 0.046 0.343
Cd12 Cd 0.634 0.343 0.046
Cd13 Cd 0.689 0.197 0.689
Cd14 Cd 0.689 0.689 0.197
Cd15 Cd 0.847 0.336 0.336
Cd16 Cd 0.982 0.507 0.982
Cd17 Cd 0.982 0.982 0.507



# 4
# Cs2SrCd (PBE, optimized geometry)
# ΔH_f (0 K) ... 0.221 eV/atom
# Spin magnetization ... 0.00 Bohr magnetons per cell
# Fermi-level density of states ... 1.4459 states/eV/atom
# Polymorph energy (0 for the lowest one) ... 80 meV/atom
data_Cs2SrCd
_chemical_formula_sum 'Cs2 Sr1 Cd1'
_cell_length_a 7.265
_cell_length_b 7.265
_cell_length_c 7.265
_cell_angle_alpha 60.00
_cell_angle_beta 60.00
_cell_angle_gamma 60.00
_space_group_name_H-M_alt 'P 1'
_space_group_IT_number 1
loop_
_space_group_symop_operation_xyz
'x,y,z'
loop_
_atom_site_label
_atom_site_type_symbol
_atom_site_fract_x
_atom_site_fract_y
_atom_site_fract_z
Cs1 Cs 0.250 0.250 0.250
Cs2 Cs 0.750 0.750 0.750
Sr1 Sr 0.000 0.000 0.000
Cd1 Cd 0.500 0.500 0.500



# 5
# Cs2SrYCd (PBE, optimized geometry)
# ΔH_f (0 K) ... 0.933 eV/atom
# Spin magnetization ... 0.80 Bohr magnetons per cell
# Fermi-level density of states ... 1.4986 states/eV/atom
data_Cs2SrYCd
_chemical_formula_sum 'Cs2 Sr1 Y1 Cd1'
_cell_length_a 7.276
_cell_length_b 7.276
_cell_length_c 5.992
_cell_angle_alpha 90.00
_cell_angle_beta 90.00
_cell_angle_gamma 90.00
_space_group_name_H-M_alt 'P 1'
_space_group_IT_number 1
loop_
_space_group_symop_operation_xyz
'x,y,z'
loop_
_atom_site_label
_atom_site_type_symbol
_atom_site_fract_x
_atom_site_fract_y
_atom_site_fract_z
Cs1 Cs 0.000 0.500 0.000
Cs2 Cs 0.500 0.000 0.000
Sr1 Sr 0.000 0.000 0.000
Y1 Y 0.500 0.500 0.500
Cd1 Cd 0.000 0.000 0.500



# 6
# CsTa3Cd (PBE, optimized geometry)
# ΔH_f (0 K) ... 2.544 eV/atom
# Spin magnetization ... 2.66 Bohr magnetons per cell
# Fermi-level density of states ... 1.9731 states/eV/atom
# Polymorph energy (0 for the lowest one) ... 0 meV/atom
data_CsTa3Cd
_chemical_formula_sum 'Cs1 Ta3 Cd1'
_cell_length_a 5.241
_cell_length_b 5.241
_cell_length_c 5.241
_cell_angle_alpha 90.00
_cell_angle_beta 90.00
_cell_angle_gamma 90.00
_space_group_name_H-M_alt 'P 1'
_space_group_IT_number 1
loop_
_space_group_symop_operation_xyz
'x,y,z'
loop_
_atom_site_label
_atom_site_type_symbol
_atom_site_fract_x
_atom_site_fract_y
_atom_site_fract_z
Cs1 Cs 0.000 0.000 0.000
Ta1 Ta 0.000 0.500 0.500
Ta2 Ta 0.500 0.000 0.500
Ta3 Ta 0.500 0.500 0.000
Cd1 Cd 0.500 0.500 0.500



# 7
# CsTa3Cd (PBE, optimized geometry)
# ΔH_f (0 K) ... 3.007 eV/atom
# Spin magnetization ... 0.00 Bohr magnetons per cell
# Fermi-level density of states ... 0.4883 states/eV/atom
# Polymorph energy (0 for the lowest one) ... 463 meV/atom
data_CsTa3Cd
_chemical_formula_sum 'Cs1 Ta3 Cd1'
_cell_length_a 5.037
_cell_length_b 5.037
_cell_length_c 5.037
_cell_angle_alpha 90.00
_cell_angle_beta 90.00
_cell_angle_gamma 90.00
_space_group_name_H-M_alt 'P 1'
_space_group_IT_number 1
loop_
_space_group_symop_operation_xyz
'x,y,z'
loop_
_atom_site_label
_atom_site_type_symbol
_atom_site_fract_x
_atom_site_fract_y
_atom_site_fract_z
Cs1 Cs 0.000 0.000 0.000
Ta1 Ta 0.000 0.000 0.500
Ta2 Ta 0.000 0.500 0.000
Ta3 Ta 0.500 0.000 0.000
Cd1 Cd 0.500 0.500 0.500



# 8
# CsTaCd (PBE, optimized geometry)
# ΔH_f (0 K) ... 0.796 eV/atom
# Spin magnetization ... 0.00 Bohr magnetons per cell
# Fermi-level density of states ... 0.6200 states/eV/atom
# Polymorph energy (0 for the lowest one) ... 54 meV/atom
data_CsTaCd
_chemical_formula_sum 'Cs4 Ta4 Cd4'
_cell_length_a 14.130
_cell_length_b 5.312
_cell_length_c 5.442
_cell_angle_alpha 90.00
_cell_angle_beta 90.00
_cell_angle_gamma 90.00
_space_group_name_H-M_alt 'P 1'
_space_group_IT_number 1
loop_
_space_group_symop_operation_xyz
'x,y,z'
loop_
_atom_site_label
_atom_site_type_symbol
_atom_site_fract_x
_atom_site_fract_y
_atom_site_fract_z
Cs1 Cs 0.250 0.250 0.247
Cs2 Cs 0.250 0.750 0.747
Cs3 Cs 0.750 0.250 0.253
Cs4 Cs 0.750 0.750 0.753
Ta1 Ta 0.000 0.250 0.502
Ta2 Ta 0.000 0.750 0.498
Ta3 Ta 0.500 0.250 0.998
Ta4 Ta 0.500 0.750 0.002
Cd1 Cd 0.000 0.000 0.000
Cd2 Cd 0.000 0.500 0.000
Cd3 Cd 0.500 0.000 0.500
Cd4 Cd 0.500 0.500 0.500



# 9
# CsTaCd (PBE, optimized geometry)
# ΔH_f (0 K) ... 0.743 eV/atom
# Spin magnetization ... 0.00 Bohr magnetons per cell
# Fermi-level density of states ... 0.9863 states/eV/atom
# Polymorph energy (0 for the lowest one) ... 0 meV/atom
data_CsTaCd
_chemical_formula_sum 'Cs4 Ta4 Cd4'
_cell_length_a 5.223
_cell_length_b 5.301
_cell_length_c 14.740
_cell_angle_alpha 90.00
_cell_angle_beta 90.00
_cell_angle_gamma 90.00
_space_group_name_H-M_alt 'P 1'
_space_group_IT_number 1
loop_
_space_group_symop_operation_xyz
'x,y,z'
loop_
_atom_site_label
_atom_site_type_symbol
_atom_site_fract_x
_atom_site_fract_y
_atom_site_fract_z
Cs1 Cs 0.249 0.250 0.033
Cs2 Cs 0.251 0.750 0.533
Cs3 Cs 0.749 0.250 0.467
Cs4 Cs 0.751 0.750 0.967
Ta1 Ta 0.003 0.250 0.750
Ta2 Ta 0.497 0.750 0.250
Ta3 Ta 0.503 0.250 0.750
Ta4 Ta 0.997 0.750 0.250
Cd1 Cd 0.247 0.250 0.289
Cd2 Cd 0.253 0.750 0.789
Cd3 Cd 0.747 0.250 0.211
Cd4 Cd 0.753 0.750 0.711



# 10
# CsTaCd (PBE, optimized geometry)
# ΔH_f (0 K) ... 0.777 eV/atom
# Spin magnetization ... 0.00 Bohr magnetons per cell
# Fermi-level density of states ... 0.8561 states/eV/atom
# Polymorph energy (0 for the lowest one) ... 35 meV/atom
data_CsTaCd
_chemical_formula_sum 'Cs4 Ta4 Cd4'
_cell_length_a 9.958
_cell_length_b 3.390
_cell_length_c 13.196
_cell_angle_alpha 90.00
_cell_angle_beta 90.00
_cell_angle_gamma 90.00
_space_group_name_H-M_alt 'P 1'
_space_group_IT_number 1
loop_
_space_group_symop_operation_xyz
'x,y,z'
loop_
_atom_site_label
_atom_site_type_symbol
_atom_site_fract_x
_atom_site_fract_y
_atom_site_fract_z
Cs1 Cs 0.080 0.250 0.176
Cs2 Cs 0.420 0.750 0.676
Cs3 Cs 0.580 0.250 0.324
Cs4 Cs 0.920 0.750 0.824
Ta1 Ta 0.072 0.250 0.548
Ta2 Ta 0.428 0.750 0.048
Ta3 Ta 0.572 0.250 0.952
Ta4 Ta 0.928 0.750 0.452
Cd1 Cd 0.237 0.750 0.413
Cd2 Cd 0.263 0.250 0.913
Cd3 Cd 0.737 0.750 0.087
Cd4 Cd 0.763 0.250 0.587